# Pa2CrOsN6 | Alexandria via LeMat-Bulk | PBE | relaxed
# DOS at the Fermi energy = 6.89 states/eV per cell
# Spin magnetization = 1.2 μB/f.u.
# Crystal system = tetragonal
# Raw formation energy = -0.62 eV/atom
data_Pa2CrOsN6
_symmetry_space_group_name_H-M 'P 1'
_symmetry_Int_Tables_number 1
_cell_length_a 5.5402
_cell_length_b 5.5402
_cell_length_c 4.0467
_cell_angle_alpha 90.00
_cell_angle_beta 90.00
_cell_angle_gamma 90.00
loop_
_symmetry_equiv_pos_as_xyz
'x,y,z'
loop_
_atom_site_label
_atom_site_fract_x
_atom_site_fract_y
_atom_site_fract_z
Pa1 0.0000 0.5000 0.0000
Pa2 0.5000 0.0000 0.0000
Cr1 0.0000 0.0000 0.5922
Os1 0.5000 0.5000 0.6710
N1 0.0000 0.0000 0.1844
N2 0.2399 0.2399 0.7175
N3 0.2399 0.7601 0.7175
N4 0.5000 0.5000 0.1750
N5 0.7601 0.2399 0.7175
N6 0.7601 0.7601 0.7175